Entry 1:
Entry from Alexandria via LeMat-Bulk: crystalline CaAc2Se3 at its relaxed geometry (PBE).

Lattice parameters (Å, degrees): 4.2007 5.2798 9.0417 106.98 103.43 90.00
Fractional positions:
Se  0.8274  0.8274  0.6548
Ac  0.6425  0.6425  0.2851
Se  0.1726  0.1726  0.3452
Ca  0.0000  0.0000  0.0000
Se  0.0000  0.5000  0.0000
Ac  0.3575  0.3575  0.7149

Summary:
**VASP energy**: -5.129 eV/atom
**E above lowest polymorph**: 166.9 meV/atom
**Size of the total moment**: 0.00 μB per formula unit
**Energy relative to the elements, uncorrected**: -1.68 eV per atom


Entry 2:
Entry from Alexandria via LeMat-Bulk: crystalline CaAc3Se at its relaxed geometry (PBE).

Lattice parameters (Å, degrees): 6.0446 6.0446 6.0446 90.00 90.00 90.00
Fractional positions:
Ac  0.5000  0.0000  0.0000
Ac  0.0000  0.5000  0.0000
Ac  0.0000  0.0000  0.5000
Se  0.0000  0.0000  0.0000
Ca  0.5000  0.5000  0.5000

Summary:
**VASP energy**: -4.129 eV/atom
**Size of the total moment**: 0.00 μB per formula unit
**Energy relative to the elements, uncorrected**: -0.57 eV per atom